Record 1
Below is crystalline CaTlN2O at its relaxed geometry, with properties calculated at the GGA-PBE level.

For the magnetization, the calculation gives 2.235 μB/f.u. As for the uncorrected formation energy: 668 meV/atom. The mass density comes out at 5.9 g/cm³.

The space group is P4/mmm (No. 123) and the conventional cell measures 4.2928, 4.2928 and 4.4245 Å, with angles of 90.00, 90.00 and 90.00 degrees. The inequivalent atoms are Ca at (0.0000, 0.0000, 0.0000), Tl at (0.5000, 0.5000, 0.5000), N at (0.0000, 0.5000, 0.5000) and O at (0.5000, 0.5000, 0.0000).

---

Record 2
Below is crystalline MnRuRh at its relaxed geometry, with properties calculated at the GGA-PBE level.

For the magnetization, the calculation gives 1.892 μB/f.u. As for the formation energy: 40 meV/atom. The mass density comes out at 10.6 g/cm³. Its energy above the lowest structure with this stoichiometry is 0.274 eV/f.u.

The space group is Imm2 (No. 44) and the conventional cell measures 2.6884, 3.7156 and 8.0973 Å, with angles of 90.00, 90.00 and 90.00 degrees. The inequivalent atoms are Mn at (0.0000, 0.0000, 0.0000), Ru at (0.0000, 0.0000, 0.3428) and Rh at (0.0000, 0.0000, 0.6690).